Here is a PBEsol-optimized structure of CuSb2P from Alexandria. Energies are from meta-GGA SCAN.

a = 4.824 Å, b = 4.824 Å, c = 4.824 Å
α = 60.00°, β = 60.00°, γ = 60.00°
Fractional positions:
Cu 0.500 0.500 0.500
P 0.750 0.750 0.750
Sb 0.000 0.000 0.000
Sb 0.250 0.250 0.250

Properties
Symmetry   No. 216
Total energy   -24.376 eV per atom

***

Here is a PBEsol-optimized structure of NaCuCl3 from Alexandria. Energies are from meta-GGA SCAN.

a = 4.695 Å, b = 4.695 Å, c = 4.695 Å
α = 90.00°, β = 90.00°, γ = 90.00°
Fractional positions:
Na 0.500 0.500 0.500
Cu 0.000 0.000 0.000
Cl 0.000 0.500 0.000
Cl 0.000 0.000 0.500
Cl 0.500 0.000 0.000

Properties
Symmetry   No. 221
Total energy   -9.759 eV per atom

***

Here is a PBEsol-optimized structure of CrTcW2 from Alexandria. Energies are from meta-GGA SCAN.

a = 3.053 Å, b = 3.053 Å, c = 6.118 Å
α = 90.00°, β = 90.00°, γ = 90.00°
Fractional positions:
Cr 0.000 0.000 0.491
Tc 0.500 0.500 0.749
W 0.000 0.000 0.993
W 0.500 0.500 0.267

Properties
Symmetry   No. 99
ΔH_f (0 K)   41 meV per atom
Total energy   -48.164 eV per atom

***

Here is a PBEsol-optimized structure of Ba2MnTe from Alexandria. Energies are from meta-GGA SCAN.

a = 4.642 Å, b = 4.642 Å, c = 8.980 Å
α = 75.02°, β = 75.02°, γ = 60.00°
Fractional positions:
Te 0.000 0.000 0.000
Ba 0.252 0.252 0.245
Ba 0.748 0.748 0.755
Mn 0.500 0.500 0.500

Properties
Symmetry   No. 166
Total energy   -34.252 eV per atom

***

Here is a PBEsol-optimized structure of Sc2Ga2Sn from Alexandria. Energies are from meta-GGA SCAN.

a = 4.035 Å, b = 6.919 Å, c = 6.919 Å
α = 90.00°, β = 90.00°, γ = 90.00°
Fractional positions:
Sc 0.500 0.172 0.672
Sc 0.500 0.672 0.828
Sc 0.500 0.828 0.328
Sc 0.500 0.328 0.172
Sn 0.000 0.000 0.000
Sn 0.000 0.500 0.500
Ga 0.000 0.376 0.876
Ga 0.000 0.876 0.624
Ga 0.000 0.624 0.124
Ga 0.000 0.124 0.376

Properties
Symmetry   No. 127
ΔH_f (0 K)   -672 meV per atom
Total energy   -20.090 eV per atom

***

Here is a PBEsol-optimized structure of NaZn2N from Alexandria. Energies are from meta-GGA SCAN.

a = 6.157 Å, b = 6.134 Å, c = 6.157 Å
α = 120.12°, β = 90.00°, γ = 120.12°
Fractional positions:
Na 0.250 0.500 0.750
Na 0.000 0.000 0.000
Zn 0.570 0.250 0.375
Zn 0.680 0.250 0.875
Zn 0.125 0.750 0.430
Zn 0.625 0.750 0.320
N 0.750 0.500 0.250
N 0.500 0.000 0.500

Properties
Symmetry   No. 122
Total energy   -9.862 eV per atom